{"formula": "Na2WO6", "functional": "GGA+U", "state": "optimized geometry", "total_energy_ev_per_atom": -5.436, "sg": "P4_2/mnm (136)", "lattice_angstrom": [[5.1664, 0.0000, 0.0000], [0.0000, 5.1664, 0.0000], [0.0000, 0.0000, 10.5592]], "species": ["Na", "Na", "Na", "Na", "W", "W", "O", "O", "O", "O", "O", "O", "O", "O", "O", "O", "O", "O"], "frac_coords": [[0.0000, 0.0000, 0.1648], [0.0000, 0.0000, 0.8352], [0.5000, 0.5000, 0.3352], [0.5000, 0.5000, 0.6648], [0.0000, 0.0000, 0.5000], [0.5000, 0.5000, 0.0000], [0.1814, 0.1814, 0.3668], [0.1814, 0.1814, 0.6332], [0.2346, 0.2346, 0.0000], [0.2654, 0.7346, 0.5000], [0.3186, 0.6814, 0.1332], [0.3186, 0.6814, 0.8668], [0.6814, 0.3186, 0.1332], [0.6814, 0.3186, 0.8668], [0.7346, 0.2654, 0.5000], [0.7654, 0.7654, 0.0000], [0.8186, 0.8186, 0.3668], [0.8186, 0.8186, 0.6332]]}